No. 1
HfMg2Sc | GGA-PBE | optimized geometry

Summary:
For the density of states at the Fermi level, the calculation gives 1.13 states/eV/atom. Its distance to the lowest polymorph of the same formula is 156 meV/atom. The calculation puts the volume at 22.9 Å³ per atom. The spin magnetization is 0.1799 μB per atom.

```
4
Lattice="1.5693 0.9061 10.7160 -1.5693 0.9061 10.7160 0.0000 -1.8121 10.7160" Properties=species:S:1:pos:R:3 pbc="T T T"
Hf 0.0000 0.0000 0.0000
Mg 0.0000 0.0000 8.0387
Mg 0.0000 0.0000 13.3615
Sc 0.0000 0.0000 26.7547
```

No. 2
Ag3TeICl | GGA-PBE | optimized geometry

Summary:
For the density of states at the Fermi level, the calculation gives 0.28 states/eV/atom. The calculation puts the volume at 28.0 Å³ per atom. Its uncorrected formation energy is -0.170 eV/atom. The spin magnetization is 0.0000 μB per atom.

```
12
Lattice="8.5757 -2.3656 0.0000 8.5757 2.3656 0.0000 -1.7184 0.0000 8.2944" Properties=species:S:1:pos:R:3 pbc="T T T"
Ag 0.7978 0.0000 2.6238
Ag 5.4605 0.0000 1.4112
Ag 4.9828 0.0000 4.4699
Ag 10.4503 0.0000 3.8245
Ag 9.9726 0.0000 6.8833
Ag 14.6353 0.0000 5.6707
Te 2.2769 0.0000 5.2248
Te 13.1562 0.0000 3.0696
I 2.4948 0.0000 0.2630
I 12.9383 0.0000 8.0314
Cl 7.2524 0.0000 5.9996
Cl 8.1807 0.0000 2.2948
```

No. 3
Ce2AgPt | GGA-PBE | optimized geometry

Summary:
For the density of states at the Fermi level, the calculation gives 2.46 states/eV/atom. The calculation puts the volume at 24.1 Å³ per atom. For the total energy, the calculation gives -22.9 eV for the cell shown. The spin magnetization is 0.3634 μB per atom.

```
4
Lattice="3.7298 0.0000 0.0000 0.0000 3.7298 0.0000 0.0000 0.0000 6.9214" Properties=species:S:1:pos:R:3 pbc="T T T"
Ce 0.0000 0.0000 1.5200
Ce 0.0000 0.0000 5.4014
Ag 1.8649 1.8649 3.4607
Pt 1.8649 1.8649 0.0000
```

No. 4
Na6Sr2Ca3 | GGA-PBE | optimized geometry

Summary:
For the density of states at the Fermi level, the calculation gives 0.96 states/eV/atom. The calculation puts the volume at 43.1 Å³ per atom. For the total energy, the calculation gives -15.7 eV for the cell shown. The spin magnetization is 0.0000 μB per atom.

```
11
Lattice="9.5486 0.0000 0.0000 -4.7743 8.2693 0.0000 0.0000 0.0000 6.0020" Properties=species:S:1:pos:R:3 pbc="T T T"
Na -1.0152 1.7583 0.0000
Na -3.8017 6.5847 3.0010
Na 0.9726 1.6846 3.0010
Na 2.0303 0.0000 0.0000
Na 3.7591 6.5110 0.0000
Na 7.6034 0.0000 3.0010
Sr 0.0000 5.5129 0.0000
Sr 4.7743 2.7564 0.0000
Ca -2.1298 3.6889 3.0010
Ca 4.2596 0.0000 3.0010
Ca 2.6445 4.5804 3.0010
```

No. 5
CeBiTe | GGA-PBE | optimized geometry

Summary:
For the density of states at the Fermi level, the calculation gives 1.92 states/eV/atom. The calculation puts the volume at 30.2 Å³ per atom. Its uncorrected formation energy is -0.899 eV/atom. The spin magnetization is 0.2450 μB per atom.

```
6
Lattice="2.0785 -8.8486 0.0000 2.0785 8.8486 0.0000 0.0000 0.0000 4.9186" Properties=species:S:1:pos:R:3 pbc="T T T"
Ce 2.0785 7.1203 3.6889
Ce 2.0785 -7.1203 1.2296
Bi 2.0785 4.4610 1.2296
Bi 2.0785 -4.4610 3.6889
Te 2.0785 1.1808 3.6889
Te 2.0785 -1.1808 1.2296
```

No. 6
Be2TlP | GGA-PBE | optimized geometry

Summary:
For the density of states at the Fermi level, the calculation gives 0.34 states/eV/atom. Its distance to the lowest polymorph of the same formula is 644 meV/atom. The calculation puts the volume at 15.7 Å³ per atom. The spin magnetization is 0.0000 μB per atom.

```
4
Lattice="2.7291 -3.3191 0.0000 2.7291 3.3191 0.0000 0.0000 0.0000 3.4586" Properties=species:S:1:pos:R:3 pbc="T T T"
Be 1.3646 1.6595 0.0000
Be 1.3646 -1.6595 0.0000
Tl 0.0000 0.0000 1.7293
P 2.7291 0.0000 1.7293
```

No. 7
ZrCu2Sb | GGA-PBE | optimized geometry

Summary:
For the density of states at the Fermi level, the calculation gives 0.43 states/eV/atom. The calculation puts the volume at 17.6 Å³ per atom. Its uncorrected formation energy is -0.105 eV/atom. The spin magnetization is 0.0000 μB per atom.

```
4
Lattice="-2.0548 2.0548 4.1756 2.0548 -2.0548 4.1756 2.0548 2.0548 -4.1756" Properties=species:S:1:pos:R:3 pbc="T T T"
Zr 0.0000 0.0000 0.0000
Cu 2.0548 0.0000 2.0878
Cu 0.0000 2.0548 2.0878
Sb 0.0000 0.0000 4.1756
```

No. 8
Be2InPt | GGA-PBE | optimized geometry

Summary:
For the density of states at the Fermi level, the calculation gives 0.21 states/eV/atom. The calculation puts the volume at 13.4 Å³ per atom. For the total energy, the calculation gives -16.5 eV for the cell shown. The spin magnetization is 0.0000 μB per atom.

```
4
Lattice="4.0156 0.0000 0.0000 0.0000 4.0156 0.0000 0.0000 0.0000 3.3352" Properties=species:S:1:pos:R:3 pbc="T T T"
Be 0.0000 2.0078 0.0000
Be 2.0078 0.0000 0.0000
In 0.0000 0.0000 1.6676
Pt 2.0078 2.0078 1.6676
```